Here is an optimized crystal structure of LiDyTmIr from Alexandria via LeMat-Bulk. Energies are from GGA-PBE.

Cell and atoms, written as POSCAR:
```
LiDyTmIr
1.0
0.000 3.451 3.451
3.451 0.000 3.451
3.451 3.451 0.000
Li Dy Tm Ir
1 1 1 1
Direct
0.000 0.000 0.000
0.250 0.250 0.250
0.750 0.750 0.750
0.500 0.500 0.500
```

**ρ**: 10.72 g/cm3
**Space group**: F-43m
**VASP energy**: -5.565 eV/atom
**Density of states at the Fermi level**: 2.89 states/eV per cell
**E_form**: -58.2 kJ/mol of atoms